(1)
## Rb2Hg6BiPb (GGA-PBE)

Data for a geometry-optimized Rb2Hg6BiPb structure.

POSCAR file:
```
Rb2Hg6BiPb
1.0
8.4351 0.0000 0.0000
0.0000 10.7525 0.0000
0.0000 0.0000 8.6257
Rb Hg Bi Pb
4 12 2 2
Cartesian
2.1088 0.1272 2.1288
2.1088 5.2491 2.1288
6.3263 5.5034 6.4969
6.3263 10.6253 6.4969
0.6185 2.6881 8.1059
0.6368 8.0644 4.5846
2.1088 5.6730 6.0453
2.1088 10.4557 6.0453
3.5807 8.0644 4.5846
3.5990 2.6881 8.1059
4.8360 8.0644 0.5199
4.8544 2.6881 4.0411
6.3263 0.2968 2.5804
6.3263 5.0795 2.5804
7.7982 2.6881 4.0411
7.8166 8.0644 0.5199
2.1088 8.0644 8.0287
6.3263 2.6881 0.5970
2.1088 2.6881 5.3140
6.3263 8.0644 3.3117
```

Results
Formation enthalpy at 0 K ... -12 kJ/mol of atoms
Size of the total moment ... 0.000 μB/f.u.
Theoretical density ... 7.60 Mg/m³
SG ... Pmmn, No. 59

(2)
## SrTh2PN5 (GGA-PBE)

Data for a geometry-optimized SrTh2PN5 structure.

POSCAR file:
```
SrTh2PN5
1.0
6.7987 0.0000 0.0000
0.0000 6.7987 0.0000
0.0000 0.0000 5.6847
Sr Th P N
2 4 2 10
Cartesian
0.0000 0.0000 0.0000
3.3993 3.3993 0.0000
1.2486 2.1508 2.8423
2.1508 5.5501 2.8423
4.6479 1.2486 2.8423
5.5501 4.6479 2.8423
0.0000 3.3993 0.0000
3.3993 0.0000 0.0000
0.0000 0.0000 2.8423
0.8677 4.2671 1.2429
0.8677 4.2671 4.4418
2.5316 0.8677 1.2429
2.5316 0.8677 4.4418
3.3993 3.3993 2.8423
4.2671 5.9310 1.2429
4.2671 5.9310 4.4418
5.9310 2.5316 1.2429
5.9310 2.5316 4.4418
```

Results
E_form (uncorrected) ... -1.034 eV per atom
Size of the total moment ... 0.000 μB/f.u.
Theoretical density ... 8.25 Mg/m³
SG ... P4/mbm, No. 127